PBE PmRuO3, relaxed; density = 6.85 g/cm3; spin magnetization = 0.0 μB/f.u.; formation energy without anion corrections = -1.87 eV/atom; symmetry = No. 11; total energy = -76.47 eV/cell
1.0
5.611 0.000 0.000
0.000 4.039 0.000
-1.415 0.000 6.294
Pm Ru O
2 2 6
Direct
0.022 0.250 0.251
0.978 0.750 0.749
0.463 0.250 0.854
0.537 0.750 0.146
0.169 0.750 0.123
0.175 0.250 0.623
0.422 0.750 0.806
0.578 0.250 0.194
0.825 0.750 0.377
0.831 0.250 0.877